[1]
The following is a DFT calculation (PBE-GGA) of a geometry-optimized Zr4Au structure.

symmetry: Pm-3m, No. 221
magnetization: 0.7 μB/f.u.
V: 27.527 Å³/atom
raw total energy: -34.16 eV for the cell shown
energy of formation from the pure elements: 0.66 eV per atom
energy above the most stable polymorph in this dataset: 0.8627 eV/atom

Cell lengths 5.163, 5.163, 5.163 Å; angles 90.00, 90.00, 90.00 degrees
Positions (direct):
Zr1 0.000 0.000 0.000
Zr2 0.000 0.500 0.500
Zr3 0.500 0.000 0.500
Zr4 0.500 0.500 0.000
Au1 0.500 0.500 0.500


[2]
The following is a DFT calculation (PBE-GGA) of a geometry-optimized CaTb2Mg3 structure.

symmetry: P4/mmm, No. 123
magnetization: 0.0 μB/f.u.
V: 28.695 Å³/atom
raw total energy: -16.55 eV for the cell shown
energy of formation from the pure elements: -0.08 eV per atom

Cell lengths 3.841, 3.841, 11.672 Å; angles 90.00, 90.00, 90.00 degrees
Positions (direct):
Ca1 0.000 0.000 0.000
Tb1 0.000 0.000 0.343
Tb2 0.000 0.000 0.657
Mg1 0.500 0.500 0.180
Mg2 0.500 0.500 0.500
Mg3 0.500 0.500 0.820


[3]
The following is a DFT calculation (PBE-GGA) of a geometry-optimized Ho3Si2GePt9 structure.

symmetry: P-3m1, No. 164
magnetization: 0.0 μB/f.u.
V: 20.664 Å³/atom
raw total energy: -94.52 eV for the cell shown
formation energy from raw total energies: -731 meV per atom

Cell lengths 6.411, 6.411, 8.708 Å; angles 90.00, 90.00, 120.00 degrees
Positions (direct):
Ho1 0.000 0.000 0.000
Ho2 0.333 0.667 0.726
Ho3 0.667 0.333 0.274
Si1 0.333 0.667 0.186
Si2 0.667 0.333 0.814
Ge1 0.000 0.000 0.500
Pt1 0.000 0.500 0.000
Pt2 0.143 0.286 0.278
Pt3 0.143 0.857 0.278
Pt4 0.286 0.143 0.722
Pt5 0.500 0.000 0.000
Pt6 0.500 0.500 0.000
Pt7 0.714 0.857 0.278
Pt8 0.857 0.143 0.722
Pt9 0.857 0.714 0.722


[4]
The following is a DFT calculation (PBE-GGA) of a geometry-optimized Y3Tm4S8 structure.

symmetry: C2/m, No. 12
magnetization: 0.0 μB/f.u.
V: 21.870 Å³/atom
raw total energy: -100.78 eV for the cell shown
formation energy from raw total energies: -2032 meV per atom

Cell lengths 7.740, 7.740, 7.733 Å; angles 119.95, 119.95, 90.02 degrees
Positions (direct):
Y1 0.000 0.000 0.000
Y2 0.000 0.500 0.000
Y3 0.500 0.000 0.000
Tm1 0.000 0.500 0.500
Tm2 0.500 0.000 0.500
Tm3 0.500 0.500 0.000
Tm4 0.500 0.500 0.500
S1 0.251 0.749 0.500
S2 0.252 0.748 0.000
S3 0.253 0.253 0.002
S4 0.253 0.253 0.505
S5 0.747 0.747 0.495
S6 0.747 0.747 0.998
S7 0.748 0.252 0.000
S8 0.749 0.251 0.500


[5]
The following is a DFT calculation (PBE-GGA) of a geometry-optimized Li2ZnRu structure.

symmetry: Pmm2, No. 25
magnetization: 0.0 μB/f.u.
V: 14.174 Å³/atom
raw total energy: -14.28 eV for the cell shown
energy of formation from the pure elements: 0.02 eV per atom

Cell lengths 2.533, 4.164, 5.375 Å; angles 90.00, 90.00, 90.00 degrees
Positions (direct):
Li1 0.000 0.000 0.000
Li2 0.500 0.500 0.256
Zn1 0.500 0.500 0.723
Ru1 0.000 0.000 0.509


[6]
The following is a DFT calculation (PBE-GGA) of a geometry-optimized BaLiSi2Ag structure.

symmetry: P4/mmm, No. 123
magnetization: 0.0 μB/f.u.
V: 24.076 Å³/atom
raw total energy: -15.17 eV for the cell shown
formation energy from raw total energies: 473 meV per atom

Cell lengths 4.725, 4.725, 5.392 Å; angles 90.00, 90.00, 90.00 degrees
Positions (direct):
Ba1 0.000 0.000 0.000
Li1 0.000 0.000 0.500
Si1 0.000 0.500 0.500
Si2 0.500 0.000 0.500
Ag1 0.500 0.500 0.000